Below is a relaxed structure of Li2BW, with properties calculated at the PBE-GGA level.

## Properties
* VASP energy: -0.384 Ry/atom
* crystal system: cubic

The structure in CIF format:
```
data_Li2BW
_symmetry_space_group_name_H-M 'F -4 3 m'
_symmetry_Int_Tables_number 216
_symmetry_space_group_name_Hall 'F -4 2 3'
_cell_length_a 5.5467
_cell_length_b 5.5467
_cell_length_c 5.5467
_cell_angle_alpha 90.00
_cell_angle_beta 90.00
_cell_angle_gamma 90.00
loop_
_atom_site_label
_atom_site_type_symbol
_atom_site_fract_x
_atom_site_fract_y
_atom_site_fract_z
_atom_site_occupancy
Li1 Li 0.0000 0.0000 0.0000 1
Li2 Li 0.2500 0.2500 0.2500 1
B1 B 0.0000 0.0000 0.5000 1
W1 W 0.2500 0.2500 0.7500 1
```

=====

Below is a relaxed structure of GaPIrO, with properties calculated at the PBE-GGA level.

## Properties
* ΔE to the lowest computed polymorph: 894 meV/atom
* crystal system: tetragonal

The structure in CIF format:
```
data_GaPIrO
_symmetry_space_group_name_H-M 'P 4/n m m'
_symmetry_Int_Tables_number 129
_cell_length_a 4.3514
_cell_length_b 4.3514
_cell_length_c 6.1071
_cell_angle_alpha 90.00
_cell_angle_beta 90.00
_cell_angle_gamma 90.00
loop_
_symmetry_equiv_pos_as_xyz
'x,y,z'
'-x,-y,-z'
'-y+1/2,x,z'
'y+1/2,-x,-z'
'-x+1/2,-y+1/2,z'
'x+1/2,y+1/2,-z'
'y,-x+1/2,z'
'-y,x+1/2,-z'
'x+1/2,-y,-z'
'-x+1/2,y,z'
'-y,-x,-z'
'y,x,z'
'-x,y+1/2,-z'
'x,-y+1/2,z'
'y+1/2,x+1/2,-z'
'-y+1/2,-x+1/2,z'
loop_
_atom_site_label
_atom_site_type_symbol
_atom_site_fract_x
_atom_site_fract_y
_atom_site_fract_z
_atom_site_occupancy
Ga1 Ga 0.2500 0.7500 0.0000 1
P1 P 0.2500 0.2500 0.1794 1
Ir1 Ir 0.2500 0.2500 0.5499 1
O1 O 0.2500 0.7500 0.5000 1
```

=====

Below is a relaxed structure of Ac4Au4O11, with properties calculated at the PBE-GGA level.

## Properties
* ΔE to the lowest computed polymorph: 16 meV/atom
* crystal system: monoclinic

The structure in CIF format:
```
data_Ac4Au4O11
_symmetry_space_group_name_H-M 'P 1 m 1'
_symmetry_Int_Tables_number 6
_cell_length_a 5.7934
_cell_length_b 7.1593
_cell_length_c 7.4162
_cell_angle_alpha 90.00
_cell_angle_beta 90.25
_cell_angle_gamma 90.00
loop_
_symmetry_equiv_pos_as_xyz
'x,y,z'
'x,-y,z'
loop_
_atom_site_label
_atom_site_type_symbol
_atom_site_fract_x
_atom_site_fract_y
_atom_site_fract_z
_atom_site_occupancy
Ac1 Ac 0.0000 0.0000 0.0000 1
Ac2 Ac 0.0705 0.5000 0.7675 1
Ac3 Ac 0.4843 0.5000 0.2771 1
Ac4 Ac 0.5582 0.0000 0.5191 1
Au1 Au 0.0226 0.2495 0.3863 1
Au2 Au 0.5319 0.2851 0.8932 1
O1 O 0.1699 0.0000 0.3232 1
O2 O 0.2330 0.3071 0.0342 1
O3 O 0.3173 0.2974 0.5297 1
O4 O 0.4129 0.0000 0.8473 1
O5 O 0.7282 0.2020 0.2462 1
O6 O 0.8230 0.2183 0.7551 1
O7 O 0.8782 0.5000 0.4505 1
```

=====

Below is a relaxed structure of TaCdInCu, with properties calculated at the PBE-GGA level.

## Properties
* ΔE to the lowest computed polymorph: 0 meV/atom
* crystal system: cubic

The structure in CIF format:
```
data_TaCdInCu
_symmetry_space_group_name_H-M 'F -4 3 m'
_symmetry_Int_Tables_number 216
_symmetry_space_group_name_Hall 'F -4 2 3'
_cell_length_a 6.6626
_cell_length_b 6.6626
_cell_length_c 6.6626
_cell_angle_alpha 90.00
_cell_angle_beta 90.00
_cell_angle_gamma 90.00
loop_
_atom_site_label
_atom_site_type_symbol
_atom_site_fract_x
_atom_site_fract_y
_atom_site_fract_z
_atom_site_occupancy
Ta1 Ta 0.0000 0.0000 0.0000 1
Cd1 Cd 0.2500 0.2500 0.7500 1
In1 In 0.2500 0.2500 0.2500 1
Cu1 Cu 0.0000 0.0000 0.5000 1
```

=====

Below is a relaxed structure of Li4Ga2CuAu, with properties calculated at the PBE-GGA level.

## Properties
* VASP energy: -0.218 Ry/atom
* crystal system: tetragonal

The structure in CIF format:
```
data_Li4Ga2CuAu
_symmetry_space_group_name_H-M 'P -4 m 2'
_symmetry_Int_Tables_number 115
_cell_length_a 4.3037
_cell_length_b 4.3037
_cell_length_c 6.0938
_cell_angle_alpha 90.00
_cell_angle_beta 90.00
_cell_angle_gamma 90.00
loop_
_symmetry_equiv_pos_as_xyz
'x,y,z'
'y,-x,-z'
'-x,-y,z'
'-y,x,-z'
'-x,y,z'
'-y,-x,-z'
'x,-y,z'
'y,x,-z'
loop_
_atom_site_label
_atom_site_type_symbol
_atom_site_fract_x
_atom_site_fract_y
_atom_site_fract_z
_atom_site_occupancy
Li1 Li 0.0000 0.0000 0.0000 1
Li2 Li 0.0000 0.5000 0.7432 1
Li3 Li 0.5000 0.5000 0.5000 1
Ga1 Ga 0.0000 0.5000 0.2684 1
Cu1 Cu 0.0000 0.0000 0.5000 1
Au1 Au 0.5000 0.5000 0.0000 1
```

=====

Below is a relaxed structure of RbCo4Se3, with properties calculated at the PBE-GGA level.

## Properties
* VASP energy: -0.388 Ry/atom
* crystal system: tetragonal

The structure in CIF format:
```
data_RbCo4Se3
_symmetry_space_group_name_H-M 'P 4/m m m'
_symmetry_Int_Tables_number 123
_symmetry_space_group_name_Hall '-P 4 2'
_cell_length_a 3.7781
_cell_length_b 3.7781
_cell_length_c 9.9015
_cell_angle_alpha 90.00
_cell_angle_beta 90.00
_cell_angle_gamma 90.00
loop_
_atom_site_label
_atom_site_type_symbol
_atom_site_fract_x
_atom_site_fract_y
_atom_site_fract_z
_atom_site_occupancy
Rb1 Rb 0.0000 0.0000 0.0000 1
Co1 Co 0.0000 0.5000 0.3598 1
Se1 Se 0.0000 0.0000 0.5000 1
Se2 Se 0.5000 0.5000 0.2220 1
```

=====

Repeat the fourth record exactly.
Below is a relaxed structure of TaCdInCu, with properties calculated at the PBE-GGA level.

## Properties
* ΔE to the lowest computed polymorph: 0 meV/atom
* crystal system: cubic

The structure in CIF format:
```
data_TaCdInCu
_symmetry_space_group_name_H-M 'F -4 3 m'
_symmetry_Int_Tables_number 216
_symmetry_space_group_name_Hall 'F -4 2 3'
_cell_length_a 6.6626
_cell_length_b 6.6626
_cell_length_c 6.6626
_cell_angle_alpha 90.00
_cell_angle_beta 90.00
_cell_angle_gamma 90.00
loop_
_atom_site_label
_atom_site_type_symbol
_atom_site_fract_x
_atom_site_fract_y
_atom_site_fract_z
_atom_site_occupancy
Ta1 Ta 0.0000 0.0000 0.0000 1
Cd1 Cd 0.2500 0.2500 0.7500 1
In1 In 0.2500 0.2500 0.2500 1
Cu1 Cu 0.0000 0.0000 0.5000 1
```

=====

What is the formula in the sixth record?
RbCo4Se3